Entry 1:
Here is CsSrInF6 after structural relaxation from Alexandria. Energies are from PBE.

Cell: 8.182 8.054 7.935 Å, 120.50 121.03 90.00°
Each line ends with the local moment (μB).
Positions (direct):
1 In 0.500 0.000 0.000  0.00
2 F 0.547 0.844 0.733  0.00
3 Cs 0.854 0.604 0.707  0.00
4 F 0.187 0.389 0.733  0.00
5 F 0.453 0.156 0.267  0.00
6 F 0.187 0.844 0.733  0.00
7 F 0.547 0.389 0.733  0.00
8 F 0.861 0.111 0.723  0.10
9 Cs 0.146 0.396 0.293  0.00
10 Sr 0.000 0.000 0.500  0.00
11 F 0.431 0.181 0.862  0.00
12 F 0.139 0.889 0.277  0.10
13 In 0.500 0.500 0.000  0.00
14 F 0.813 0.156 0.267  0.00
15 Sr 0.500 0.000 0.500  0.00
16 F 0.569 0.819 0.138  0.00
17 F 0.813 0.611 0.267  0.00
18 F 0.453 0.611 0.267  0.00

Results
formation energy without anion corrections: -3.0716 eV per atom
symmetry: Imma

=====

Entry 2:
Here is SrTeF2 after structural relaxation from Alexandria. Energies are from PBE.

Cell: 4.873 4.873 4.873 Å, 60.00 60.00 60.00°
Each line ends with the local moment (μB).
Positions (direct):
1 Sr 0.000 0.000 0.000  0.04
2 F 0.750 0.750 0.750  0.20
3 Te 0.500 0.500 0.500  0.86
4 F 0.250 0.250 0.250  0.20

Results
distance to the lowest polymorph of the same formula: 652 meV per atom
formation energy without anion corrections: -1.8841 eV per atom
symmetry: Fm-3m

=====

Entry 3:
Here is Ca2DyPt3 after structural relaxation from Alexandria. Energies are from PBE.

Cell: 4.923 7.809 7.033 Å, 90.00 90.00 71.63°
Positions (direct):
1 Dy 0.337 0.326 0.000
2 Pt 0.500 0.000 0.244
3 Ca 0.334 0.333 0.500
4 Pt 0.173 0.654 0.233
5 Ca 0.000 0.000 0.500
6 Pt 0.827 0.346 0.767
7 Ca 0.666 0.667 0.500
8 Ca 0.000 0.000 0.000
9 Pt 0.173 0.654 0.767
10 Dy 0.663 0.674 0.000
11 Pt 0.500 0.000 0.756
12 Pt 0.827 0.346 0.233

Results
E_form: -1033 meV/atom
symmetry: Cmmm

=====

Number 1: D(E_F) 0.000 states/eV per atom. Number 2: D(E_F) 0.111 states/eV per atom. Number 3: D(E_F) 0.394 states/eV per atom.